1.
Below is a relaxed structure of Pm4Pb3O, with properties calculated at the PBE level.

It has space group Cmmm (No. 65), with a = 7.9673 Å, b = 12.5342 Å, c = 4.8110 Å, α = 90.00°, β = 90.00° and γ = 90.00°. The asymmetric unit holds Pm at (0.0000, 0.1818, 0.0000), Pm at (0.2443, 0.0000, 0.5000), Pb at (0.0000, 0.5000, 0.0000), Pb at (0.2500, 0.2500, 0.5000) and O at (0.0000, 0.0000, 0.0000).

The calculation puts the electronic total energy at -5.256 eV per atom. The calculation puts the density at 8.417 Mg/m³.

2.
Below is a relaxed structure of PmPbO4, with properties calculated at the PBE level.

It has space group I4_1/amd (No. 141, origin choice 2), with a = 5.6765 Å, b = 5.6765 Å, c = 10.3917 Å, α = 90.00°, β = 90.00° and γ = 90.00°. The asymmetric unit holds Pm at (0.0000, 0.2500, 0.3750), Pb at (0.0000, 0.2500, 0.8750) and O at (0.2369, 0.0000, 0.0000).

The calculation puts the electronic total energy at -6.377 eV per atom. The calculation puts the density at 8.256 Mg/m³. Its polymorph energy (0 for the lowest one) is 0 meV/atom.

3.
Below is a relaxed structure of Pm4Pb3O2, with properties calculated at the PBE level.

It has space group C2/m (No. 12), with a = 14.1299 Å, b = 3.9114 Å, c = 9.4131 Å, α = 90.00°, β = 113.10° and γ = 90.00°. The asymmetric unit holds Pm at (0.1287, 0.0000, 0.4289), Pm at (0.2048, 0.5000, 0.1444), Pb at (0.0000, 0.0000, 0.0000), Pb at (0.0897, 0.5000, 0.7373) and O at (0.2004, 0.5000, 0.3830).

The calculation puts the electronic total energy at -5.981 eV per atom. The calculation puts the density at 8.561 Mg/m³.

4.
Below is a relaxed structure of Pm5Pb2O2, with properties calculated at the PBE level.

It has space group C2/m (No. 12), with a = 12.9380 Å, b = 5.0517 Å, c = 7.3620 Å, α = 90.00°, β = 101.49° and γ = 90.00°. The asymmetric unit holds Pm at (0.0000, 0.0000, 0.0000), Pm at (0.1528, 0.0000, 0.5747), Pm at (0.1701, 0.5000, 0.9086), Pb at (0.0810, 0.5000, 0.3065) and O at (0.1656, 0.0000, 0.8950).

The calculation puts the electronic total energy at -6.006 eV per atom. The calculation puts the density at 8.250 Mg/m³.

5.
Below is a relaxed structure of Pm7Pb3O2, with properties calculated at the PBE level.

It has space group Cmmm (No. 65), with a = 4.9539 Å, b = 25.6549 Å, c = 4.8261 Å, α = 90.00°, β = 90.00° and γ = 90.00°. The asymmetric unit holds Pm at (0.0000, 0.0000, 0.0000), Pm at (0.0000, 0.0953, 0.5000), Pm at (0.0000, 0.2002, 0.0000), Pm at (0.0000, 0.4010, 0.0000), Pb at (0.0000, 0.3073, 0.5000), Pb at (0.0000, 0.5000, 0.5000) and O at (0.0000, 0.1007, 0.0000).

The calculation puts the electronic total energy at -5.756 eV per atom. The calculation puts the density at 9.035 Mg/m³.

6.
Below is a relaxed structure of PmPbO, with properties calculated at the PBE level.

It has space group P-6m2 (No. 187), with a = 3.8434 Å, b = 3.8434 Å, c = 6.1734 Å, α = 90.00°, β = 90.00° and γ = 120.00°. The asymmetric unit holds Pm at (0.0000, 0.0000, 0.0000), Pb at (0.6667, 0.3333, 0.5000) and O at (0.3333, 0.6667, 0.0000).

The calculation puts the electronic total energy at -6.191 eV per atom. The calculation puts the density at 7.742 Mg/m³. Its polymorph energy (0 for the lowest one) is 265 meV/atom.

7.
Below is a relaxed structure of Pm12Pb6O, with properties calculated at the PBE level.

It has space group R-3 (No. 148, hexagonal axes), with a = 12.2533 Å, b = 12.2533 Å, c = 14.0959 Å, α = 90.00°, β = 90.00° and γ = 120.00°. The asymmetric unit holds Pm at (0.0296, 0.1872, 0.3844), Pm at (0.0314, 0.8488, 0.8930), Pb at (0.0011, 0.3853, 0.2462) and O at (0.0000, 0.0000, 0.0000).

The calculation puts the electronic total energy at -5.032 eV per atom. The calculation puts the density at 8.152 Mg/m³.

8.
Below is a relaxed structure of PmPrPbO2, with properties calculated at the PBE level.

It has space group I4mm (No. 107), with a = 3.9929 Å, b = 3.9929 Å, c = 14.6387 Å, α = 90.00°, β = 90.00° and γ = 90.00°. The asymmetric unit holds Pm at (0.0000, 0.0000, 0.0000), Pr at (0.0000, 0.0000, 0.6634), Pb at (0.0000, 0.0000, 0.3318) and O at (0.0000, 0.5000, 0.0790).

The calculation puts the electronic total energy at -7.062 eV per atom. The calculation puts the density at 7.472 Mg/m³.